VASP calculation (GGA-PBE) on a relaxed structure of Ho3Co2Ge4.

Computed properties:
- SG = C2/m (12)
- energy of formation (eV/atom) = -0.641

Unit cell a=4.1324 b=5.6978 c=8.1188 alpha=102.57 beta=90.00 gamma=111.26
Element x y z (fractional)
Ge 0.2819 0.5639 0.9272
Ho 0.0000 0.0000 0.0000
Ho 0.6607 0.3214 0.6572
Co 0.6067 0.2134 0.2818
Ho 0.3393 0.6786 0.3428
Co 0.3933 0.7866 0.7182
Ge 0.9388 0.8776 0.6220
Ge 0.0612 0.1224 0.3780
Ge 0.7181 0.4361 0.0728